Below is crystalline MgOsPb at its relaxed geometry, with properties calculated at the PBE level.

As for the formation energy from the elements: 37.1 kJ per mole of atoms. For the volume, the calculation gives 18.5 Å³ per atom. The value obtained for the calculated total energy is -5.126 eV/atom. The offset from the most stable computed form is 0 meV per atom. The value obtained for the mass density is 12.59 g/cm³.

The space group is I4mm (No. 107) and the conventional cell measures 3.449, 3.449 and 9.355 Å, with angles of 90.00, 90.00 and 90.00 degrees. The asymmetric unit holds Mg at (0.000, 0.000, 0.000), Os at (0.000, 0.000, 0.356) and Pb at (0.000, 0.000, 0.688).